(1)
{"formula": "Sr13Ir2", "functional": "PBE", "state": "optimized geometry", "lattice_angstrom": [[-0.6364, -7.0701, -2.0350], [9.2418, -2.2408, 0.5196], [3.2669, -4.4104, 9.8455]], "species": ["Ir", "Ir", "Sr", "Sr", "Sr", "Sr", "Sr", "Sr", "Sr", "Sr", "Sr", "Sr", "Sr", "Sr", "Sr"], "frac_coords": [[0.8075, 0.8845, 0.2685], [0.1925, 0.1155, 0.7315], [0.0000, 0.0000, 0.0000], [0.2318, 0.5348, 0.0791], [0.4728, 0.0702, 0.1576], [0.6959, 0.6226, 0.2311], [0.9179, 0.1467, 0.3052], [0.1417, 0.6998, 0.3812], [0.3772, 0.2278, 0.4703], [0.6228, 0.7722, 0.5297], [0.8583, 0.3002, 0.6188], [0.0821, 0.8533, 0.6948], [0.3041, 0.3774, 0.7689], [0.5272, 0.9298, 0.8424], [0.7682, 0.4652, 0.9209]], "e_tot_ev_per_atom": -2.774}


(2)
{"formula": "BeCoAgB", "functional": "PBE", "state": "optimized geometry", "lattice_angstrom": [[0.0000, 2.7232, 2.7232], [2.7232, 0.0000, 2.7232], [2.7232, 2.7232, 0.0000]], "species": ["Ag", "B", "Be", "Co"], "frac_coords": [[0.2500, 0.2500, 0.2500], [0.0000, 0.0000, 0.0000], [0.5000, 0.5000, 0.5000], [0.7500, 0.7500, 0.7500]], "polymorph_energy_ev_per_atom": 0.000, "e_tot_ev_per_atom": -4.649}


(3)
{"formula": "LuFeReB", "functional": "PBE", "state": "optimized geometry", "lattice_angstrom": [[0.0000, 3.0073, 3.0073], [3.0073, 0.0000, 3.0073], [3.0073, 3.0073, 0.0000]], "species": ["B", "Fe", "Lu", "Re"], "frac_coords": [[0.0000, 0.0000, 0.0000], [0.7500, 0.7500, 0.7500], [0.5000, 0.5000, 0.5000], [0.2500, 0.2500, 0.2500]], "polymorph_energy_ev_per_atom": 0.015, "e_tot_ev_per_atom": -7.160}


(4)
{"formula": "HoNiSn", "functional": "PBE", "state": "optimized geometry", "lattice_angstrom": [[-3.8222, -0.1698, -2.3211], [3.8791, -0.9852, -2.0019], [-0.7903, -6.7609, 1.7959]], "species": ["Ho", "Ho", "Ni", "Ni", "Sn", "Sn"], "frac_coords": [[0.0000, 0.0000, 0.2365], [0.0000, 0.0000, 0.7365], [0.3333, 0.6667, 0.0409], [0.6667, 0.3333, 0.5409], [0.3333, 0.6667, 0.4726], [0.6667, 0.3333, 0.9726]], "e_tot_ev_per_atom": -5.347}